1.
## Th3TcSn (GGA-PBE)

Data for a relaxed Th3TcSn crystal.

Its distance to the lowest polymorph of the same formula is 157.6 meV/atom. For the calculated total energy, the calculation gives -7.473 eV/atom. The calculation puts the formation energy at -0.7 eV/f.u.

The structure belongs to space group Pm-3m (No. 221); the cell edges are 5.4040, 5.4040 and 5.4040 Å and the angles 90.00°, 90.00° and 90.00°. The asymmetric unit holds Th at (0.0000, 0.0000, 0.5000), Tc at (0.0000, 0.0000, 0.0000) and Sn at (0.5000, 0.5000, 0.5000).

=====

2.
## Ce2CrGa (GGA-PBE)

Data for a relaxed Ce2CrGa crystal.

For the calculated total energy, the calculation gives -5.894 eV/atom. The calculation puts the formation energy at 0.9 eV/f.u.

The structure belongs to space group R-3m (No. 166, hexagonal axes); the cell edges are 3.3258, 3.3258 and 28.7718 Å and the angles 90.00°, 90.00° and 120.00°. The asymmetric unit holds Ce at (0.0000, 0.0000, 0.2482), Cr at (0.0000, 0.0000, 0.5000) and Ga at (0.0000, 0.0000, 0.0000).

=====

3.
## Ba3Cd2Rh (GGA-PBE)

Data for a relaxed Ba3Cd2Rh crystal.

For the calculated total energy, the calculation gives -2.722 eV/atom. The calculation puts the formation energy at -1.4 eV/f.u.

The structure belongs to space group C2/c (No. 15); the cell edges are 11.0512, 10.0380 and 8.8896 Å and the angles 90.00°, 112.28° and 90.00°. The asymmetric unit holds Ba at (0.0000, 0.0915, 0.2500), Ba at (0.1659, 0.4185, 0.9764), Cd at (0.1846, 0.2362, 0.6221) and Rh at (0.0000, 0.2078, 0.7500).

=====

4.
## NaPuGa2 (GGA-PBE)

Data for a relaxed NaPuGa2 crystal.

Its distance to the lowest polymorph of the same formula is 2.4 meV/atom. For the calculated total energy, the calculation gives -5.559 eV/atom. The calculation puts the formation energy at -0.5 eV/f.u.

The structure belongs to space group P4/mmm (No. 123); the cell edges are 3.1810, 3.1810 and 8.7618 Å and the angles 90.00°, 90.00° and 90.00°. The asymmetric unit holds Na at (0.0000, 0.0000, 0.0000), Pu at (0.0000, 0.0000, 0.5000) and Ga at (0.5000, 0.5000, 0.2554).

=====

5.
## GdYIn4 (GGA-PBE)

Data for a relaxed GdYIn4 crystal.

For the calculated total energy, the calculation gives -5.613 eV/atom. The calculation puts the formation energy at -2.2 eV/f.u.

The structure belongs to space group F-43m (No. 216); the cell edges are 8.4976, 8.4976 and 8.4976 Å and the angles 90.00°, 90.00° and 90.00°. The asymmetric unit holds Gd at (0.0000, 0.0000, 0.0000), Y at (0.2500, 0.2500, 0.7500) and In at (0.1250, 0.1250, 0.3750).

=====

6.
## BaNpHgI6 (GGA-PBE)

Data for a relaxed BaNpHgI6 crystal.

For the calculated total energy, the calculation gives -3.722 eV/atom. The value obtained for the formation energy (no corrections) is -1.0036 eV/atom.

The structure belongs to space group P312 (No. 149); the cell edges are 8.4527, 8.4527 and 8.7094 Å and the angles 90.00°, 90.00° and 120.00°. The asymmetric unit holds Ba at (0.0000, 0.0000, 0.0000), Np at (0.3333, 0.6667, 0.0000), Hg at (0.6667, 0.3333, 0.5000) and I at (0.0474, 0.3749, 0.2040).